[1]
## Ni2Pb2Se (PBE)

Data for a relaxed structure of Ni2Pb2Se.

Summary:
* crystal system: tetragonal
* E_form (uncorrected): 0.10 eV/atom

Cell and atoms, written as CIF:
```
data_Ni2Pb2Se
_symmetry_space_group_name_H-M 'P 4/m b m'
_symmetry_Int_Tables_number 127
_symmetry_space_group_name_Hall '-P 4 2ab'
_cell_length_a 7.029
_cell_length_b 7.029
_cell_length_c 3.962
_cell_angle_alpha 90.00
_cell_angle_beta 90.00
_cell_angle_gamma 90.00
loop_
_atom_site_label
_atom_site_type_symbol
_atom_site_fract_x
_atom_site_fract_y
_atom_site_fract_z
Ni1 Ni 0.130 0.370 0.000
Pb1 Pb 0.168 0.668 0.500
Se1 Se 0.000 0.000 0.000
```

[2]
## NiPbSe2 (PBE)

Data for a relaxed structure of NiPbSe2.

Summary:
* crystal system: cubic
* E_form (uncorrected): 0.44 eV/atom

Cell and atoms, written as CIF:
```
data_NiPbSe2
_symmetry_space_group_name_H-M 'F -4 3 m'
_symmetry_Int_Tables_number 216
_symmetry_space_group_name_Hall 'F -4 2 3'
_cell_length_a 6.923
_cell_length_b 6.923
_cell_length_c 6.923
_cell_angle_alpha 90.00
_cell_angle_beta 90.00
_cell_angle_gamma 90.00
loop_
_atom_site_label
_atom_site_type_symbol
_atom_site_fract_x
_atom_site_fract_y
_atom_site_fract_z
Ni1 Ni 0.000 0.000 0.000
Pb1 Pb 0.250 0.250 0.750
Se1 Se 0.000 0.000 0.500
Se2 Se 0.250 0.250 0.250
```

[3]
## Ni3PbSe (PBE)

Data for a relaxed structure of Ni3PbSe.

Summary:
* crystal system: cubic
* E_form (uncorrected): 0.20 eV/atom

Cell and atoms, written as CIF:
```
data_Ni3PbSe
_symmetry_space_group_name_H-M 'P m -3 m'
_symmetry_Int_Tables_number 221
_symmetry_space_group_name_Hall '-P 4 2 3'
_cell_length_a 4.457
_cell_length_b 4.457
_cell_length_c 4.457
_cell_angle_alpha 90.00
_cell_angle_beta 90.00
_cell_angle_gamma 90.00
loop_
_atom_site_label
_atom_site_type_symbol
_atom_site_fract_x
_atom_site_fract_y
_atom_site_fract_z
Ni1 Ni 0.000 0.000 0.500
Pb1 Pb 0.500 0.500 0.500
Se1 Se 0.000 0.000 0.000
```

[4]
## NiPbSe2 (PBE)

Data for a relaxed structure of NiPbSe2.

Summary:
* crystal system: trigonal
* E_form (uncorrected): -0.26 eV/atom

Cell and atoms, written as CIF:
```
data_NiPbSe2
_symmetry_space_group_name_H-M 'R -3 m'
_symmetry_Int_Tables_number 166
_symmetry_space_group_name_Hall '-R 3 2"'
_cell_length_a 3.6453
_cell_length_b 3.6453
_cell_length_c 22.4510
_cell_angle_alpha 90.00
_cell_angle_beta 90.00
_cell_angle_gamma 120.00
loop_
_atom_site_label
_atom_site_type_symbol
_atom_site_fract_x
_atom_site_fract_y
_atom_site_fract_z
Ni1 Ni 0.0000 0.0000 0.0000
Pb1 Pb 0.0000 0.0000 0.5000
Se1 Se 0.0000 0.0000 0.2773
```